This record from the Alexandria database describes a geometry-optimized PmHoMgOs structure. The functional is PBE.

```
PmHoMgOs
1.0
3.4181 0.0000 0.0000
0.0000 3.4181 0.0000
0.0000 0.0000 8.6591
Pm Ho Mg Os
1 1 1 1
Cartesian
0.0000 0.0000 0.0000
0.0000 0.0000 5.2761
1.7090 1.7090 2.7074
1.7090 1.7090 6.8947
```

Computed properties:
Calculated volume in Å³/cell: 101.2
E_form in meV per atom: -144
Relative energy among the computed polymorphs in eV/atom: 0.000
Space-group type: P4mm (99)
E_tot in eV/cell: -22.727